An optimized crystal structure of LaYTa2. Source: Alexandria via LeMat-Bulk, functional GGA-PBE.

Cell: 7.2721 7.2721 7.2721 Å, 90.00 90.00 90.00°
Space group Fm-3m (No. 225)
Asymmetric unit:
La: 0.0000 0.0000 0.0000 [4 per cell]
Y: 0.0000 0.0000 0.5000 [4 per cell]
Ta: 0.2500 0.2500 0.2500 [8 per cell]

Output
Its total energy is -128.17 eV/cell. For the formation enthalpy at 0 K, the calculation gives 764 meV per atom. For the density of states at the Fermi level, the calculation gives 2.217 states/eV per atom.